(1)
Crystalline Ac2MgGa at its relaxed geometry, computed with PBEsol.

Lattice parameters (Å, degrees): 5.573 5.573 5.573 60.00 60.00 60.00
Positions (direct):
Ac  0.250  0.250  0.250
Ac  0.750  0.750  0.750
Ga  0.000  0.000  0.000
Mg  0.500  0.500  0.500

Output
calculated formation energy = -0.249 eV per atom

=====

(2)
Crystalline Ac2GaSi at its relaxed geometry, computed with PBEsol.

Lattice parameters (Å, degrees): 5.409 5.409 5.409 60.00 60.00 60.00
Positions (direct):
Si  0.000  0.000  0.000
Ac  0.250  0.250  0.250
Ac  0.750  0.750  0.750
Ga  0.500  0.500  0.500

Output
formation energy from raw total energies = -0.400 eV per atom

=====

(3)
Crystalline SrAcGa2 at its relaxed geometry, computed with PBEsol.

Lattice parameters (Å, degrees): 5.440 5.440 5.440 60.00 60.00 60.00
Positions (direct):
Sr  0.000  0.000  0.000
Ga  0.750  0.750  0.750
Ga  0.250  0.250  0.250
Ac  0.500  0.500  0.500

Output
calculated formation energy = -0.398 eV per atom

=====

(4)
Crystalline Ac2ZnGa at its relaxed geometry, computed with PBEsol.

Lattice parameters (Å, degrees): 5.432 5.432 5.432 60.00 60.00 60.00
Positions (direct):
Ga  0.500  0.500  0.500
Zn  0.000  0.000  0.000
Ac  0.250  0.250  0.250
Ac  0.750  0.750  0.750

Output
calculated formation energy = -0.343 eV per atom

=====

(5)
Crystalline LiAc2Ge at its relaxed geometry, computed with PBEsol.

Lattice parameters (Å, degrees): 5.461 5.461 5.461 60.00 60.00 60.00
Positions (direct):
Ge  0.500  0.500  0.500
Li  0.000  0.000  0.000
Ac  0.250  0.250  0.250
Ac  0.750  0.750  0.750

Output
calculated formation energy = -0.315 eV per atom

=====

(6)
Crystalline Ac2NiGe at its relaxed geometry, computed with PBEsol.

Lattice parameters (Å, degrees): 5.296 5.296 5.296 60.00 60.00 60.00
Positions (direct):
Ac  0.750  0.750  0.750
Ac  0.250  0.250  0.250
Ge  0.500  0.500  0.500
Ni  0.000  0.000  0.000

Output
calculated formation energy = -0.330 eV per atom

=====

What are the E_tot values for these records? In order: -15.059, -19.693, -14.616, -15.303, -17.172, -21.423 eV for the cell shown.